CrInOs2: relaxed, PBE-GGA.

Cell: 2.831 4.081 5.494 Å, 90.00 101.82 90.00°
Space group P2/m (No. 10)
One atom of each set of equivalent atoms:
Cr (0.000, 0.000, 0.000)
In (0.000, 0.000, 0.500)
Os (0.379, 0.500, 0.219)

Summary:
crystal system	monoclinic


CrInOs2: relaxed, PBE-GGA.

Cell: 2.935 4.781 8.922 Å, 90.00 90.00 90.00°
Space group Cmmm (No. 65)
One atom of each set of equivalent atoms:
Cr (0.000, 0.000, 0.000)
In (0.000, 0.000, 0.500)
Os (0.000, 0.500, 0.225)

Summary:
crystal system	orthorhombic


Cr2InOs: relaxed, PBE-GGA.

Cell: 2.781 2.781 7.618 Å, 90.00 90.00 90.00°
Space group P4/mmm (No. 123)
One atom of each set of equivalent atoms:
Cr (0.000, 0.000, 0.222)
In (0.500, 0.500, 0.500)
Os (0.500, 0.500, 0.000)

Summary:
crystal system	tetragonal


Rb2CrInOs: relaxed, PBE-GGA.

Cell: 6.330 6.330 5.326 Å, 90.00 90.00 90.00°
Space group P4/mmm (No. 123)
One atom of each set of equivalent atoms:
Rb (0.000, 0.500, 0.000)
Cr (0.000, 0.000, 0.000)
In (0.000, 0.000, 0.500)
Os (0.500, 0.500, 0.500)

Summary:
crystal system	tetragonal


Cr2InReOs: relaxed, PBE-GGA.

Cell: 4.506 4.506 4.696 Å, 90.00 90.00 90.00°
Space group P4/mmm (No. 123)
One atom of each set of equivalent atoms:
Cr (0.000, 0.500, 0.000)
In (0.000, 0.000, 0.000)
Re (0.500, 0.500, 0.500)
Os (0.000, 0.000, 0.500)

Summary:
crystal system	tetragonal


Cr2InTcOs: relaxed, PBE-GGA.

Cell: 4.605 4.605 5.101 Å, 90.00 90.00 90.00°
Space group P4/mmm (No. 123)
One atom of each set of equivalent atoms:
Cr (0.000, 0.500, 0.000)
In (0.000, 0.000, 0.500)
Tc (0.500, 0.500, 0.500)
Os (0.000, 0.000, 0.000)

Summary:
crystal system	tetragonal


CrInP2: relaxed, PBE-GGA.

Cell: 3.481 4.288 5.197 Å, 90.00 99.75 90.00°
Space group P2/m (No. 10)
One atom of each set of equivalent atoms:
Cr (0.000, 0.000, 0.000)
In (0.500, 0.000, 0.500)
P (0.225, 0.500, 0.852)

Summary:
crystal system	monoclinic


CrInP2: relaxed, PBE-GGA.

Cell: 3.3386 3.3386 21.8547 Å, 90.00 90.00 120.00°
Space group R3m (No. 160, hexagonal axes)
One atom of each set of equivalent atoms:
Cr (0.0000, 0.0000, 0.0000)
In (0.0000, 0.0000, 0.7662)
P (0.0000, 0.0000, 0.2604)
P (0.0000, 0.0000, 0.5318)

Summary:
crystal system	trigonal


CrIn3P: relaxed, PBE-GGA.

Cell: 5.116 5.116 5.116 Å, 90.00 90.00 90.00°
Space group Pm-3m (No. 221)
One atom of each set of equivalent atoms:
Cr (0.000, 0.000, 0.000)
In (0.000, 0.500, 0.500)
P (0.500, 0.500, 0.500)

Summary:
distance to the lowest polymorph of the same formula	0.429	eV per atom
crystal system	cubic


CrInP2: relaxed, PBE-GGA.

Cell: 5.550 7.160 3.624 Å, 90.00 103.23 90.00°
Space group C2/m (No. 12)
One atom of each set of equivalent atoms:
Cr (0.000, 0.000, 0.000)
In (0.000, 0.500, 0.000)
P (0.250, 0.250, 0.500)

Summary:
crystal system	monoclinic


CrInP2: relaxed, PBE-GGA.

Cell: 2.887 4.747 10.669 Å, 90.00 90.00 90.00°
Space group Immm (No. 71)
One atom of each set of equivalent atoms:
Cr (0.000, 0.000, 0.000)
In (0.000, 0.000, 0.500)
P (0.000, 0.500, 0.330)

Summary:
crystal system	orthorhombic


CrInP2: relaxed, PBE-GGA.

Cell: 6.571 6.571 6.571 Å, 90.00 90.00 90.00°
Space group F-43m (No. 216)
One atom of each set of equivalent atoms:
Cr (0.000, 0.000, 0.000)
In (0.250, 0.250, 0.750)
P (0.000, 0.000, 0.500)
P (0.250, 0.250, 0.250)

Summary:
crystal system	cubic


| no. | calculated total energy (Ry/atom) |
| --- | --- |
| 1 | -0.60572 |
| 2 | -0.59767 |
| 3 | -0.58735 |
| 4 | -0.24366 |
| 5 | -0.45984 |
| 6 | -0.52320 |
| 7 | -0.41467 |
| 8 | -0.40606 |
| 9 | -0.25309 |
| 10 | -0.39973 |
| 11 | -0.41123 |
| 12 | -0.37961 |